# PrTm2PuS4

A relaxed PrTm2PuS4 crystal (PBE-GGA, the Alexandria database).

Cell lengths 3.906, 6.803, 6.883 Å; angles 108.97, 90.00, 90.00 degrees
Each line ends with the local moment (μB).
Sites, in units of the cell vectors:
Pr (0.000, 0.000, 0.000)  0.04
S (0.500, 0.739, 0.731)  -0.01
Tm (0.500, 0.000, 0.500)  -0.02
Tm (0.000, 0.500, 0.500)  0.05
S (0.500, 0.261, 0.269)  -0.01
S (0.000, 0.750, 0.265)  -0.03
S (0.000, 0.250, 0.735)  -0.03
Pu (0.500, 0.500, 0.000)  5.41

Values from the calculation:
Formation energy without anion corrections (meV per atom): -1935

***

# PrTmPu2S4

A relaxed PrTmPu2S4 crystal (PBE-GGA, the Alexandria database).

Cell lengths 3.961, 6.946, 6.821 Å; angles 109.48, 90.00, 90.00 degrees
Each line ends with the local moment (μB).
Sites, in units of the cell vectors:
Pu (0.000, 0.500, 0.500)  5.21
S (0.500, 0.263, 0.255)  -0.03
Tm (0.500, 0.500, 0.000)  0.05
S (0.000, 0.260, 0.753)  0.02
S (0.500, 0.737, 0.745)  -0.03
Pu (0.500, 0.000, 0.500)  -5.35
Pr (0.000, 0.000, 0.000)  -0.03
S (0.000, 0.740, 0.247)  0.02

Values from the calculation:
Formation energy without anion corrections (meV per atom): -1874

***

# PrPu2US4

A relaxed PrPu2US4 crystal (PBE-GGA, the Alexandria database).

Cell lengths 3.934, 6.859, 6.924 Å; angles 109.06, 90.00, 90.00 degrees
Each line ends with the local moment (μB).
Sites, in units of the cell vectors:
S (0.500, 0.261, 0.258)  0.05
Pr (0.000, 0.000, 0.000)  0.03
U (0.500, 0.500, 0.000)  2.11
Pu (0.000, 0.500, 0.500)  -5.21
S (0.000, 0.256, 0.747)  0.03
Pu (0.500, 0.000, 0.500)  -5.28
S (0.000, 0.744, 0.253)  0.03
S (0.500, 0.739, 0.742)  0.05

Values from the calculation:
Formation energy without anion corrections (meV per atom): -1700

***

# Pr4Y3PuS8

A relaxed Pr4Y3PuS8 crystal (PBE-GGA, the Alexandria database).

Cell lengths 7.998, 8.071, 7.998 Å; angles 119.70, 120.00, 90.00 degrees
Each line ends with the local moment (μB).
Sites, in units of the cell vectors:
Y (0.000, 0.500, 0.500)  0.03
S (0.744, 0.733, 0.488)  0.00
S (0.257, 0.266, 0.011)  -0.02
Y (0.500, 0.500, 0.000)  0.03
S (0.755, 0.266, 0.011)  -0.02
Pr (0.500, 0.000, 0.000)  -0.06
S (0.256, 0.267, 0.512)  0.00
Pr (0.000, 0.000, 0.500)  0.01
Y (0.500, 0.500, 0.500)  0.03
S (0.245, 0.734, 0.989)  -0.02
S (0.755, 0.266, 0.509)  -0.02
S (0.743, 0.734, 0.989)  -0.02
Pr (0.500, 0.000, 0.500)  0.01
Pu (0.000, 0.500, 0.000)  5.29
S (0.245, 0.734, 0.491)  -0.02
Pr (0.000, 0.000, 0.000)  0.01

Values from the calculation:
Formation energy without anion corrections (meV per atom): -1992

***

# Pr4YPu3S8

A relaxed Pr4YPu3S8 crystal (PBE-GGA, the Alexandria database).

Cell lengths 8.023, 8.080, 8.023 Å; angles 119.77, 120.00, 90.00 degrees
Each line ends with the local moment (μB).
Sites, in units of the cell vectors:
S (0.245, 0.736, 0.991)  -0.04
Pr (0.000, 0.000, 0.500)  0.00
Pr (0.000, 0.000, 0.000)  0.00
S (0.254, 0.264, 0.009)  -0.04
S (0.745, 0.736, 0.490)  -0.07
Pr (0.500, 0.000, 0.500)  0.00
S (0.755, 0.264, 0.009)  -0.04
Pr (0.500, 0.000, 0.000)  0.03
Y (0.000, 0.500, 0.000)  0.06
Pu (0.500, 0.500, 0.000)  5.30
Pu (0.500, 0.500, 0.500)  5.30
S (0.755, 0.264, 0.511)  -0.04
S (0.746, 0.736, 0.991)  -0.04
Pu (0.000, 0.500, 0.500)  5.30
S (0.255, 0.264, 0.510)  -0.07
S (0.245, 0.736, 0.489)  -0.04

Values from the calculation:
Formation energy without anion corrections (meV per atom): -1940

***

# Pr2Y3PuS6

A relaxed Pr2Y3PuS6 crystal (PBE-GGA, the Alexandria database).

Cell lengths 3.956, 8.042, 8.936 Å; angles 103.62, 102.79, 90.00 degrees
Each line ends with the local moment (μB).
Sites, in units of the cell vectors:
Y (0.167, 0.836, 0.334)  0.01
S (0.663, 0.594, 0.326)  0.01
S (0.996, 0.250, 0.992)  -0.04
Pr (0.834, 0.668, 0.669)  0.02
S (0.333, 0.927, 0.665)  -0.02
S (0.667, 0.073, 0.335)  -0.02
S (0.004, 0.750, 0.008)  -0.04
Y (0.500, 0.500, 0.000)  0.01
Pr (0.166, 0.332, 0.331)  0.02
Y (0.833, 0.164, 0.666)  0.01
S (0.337, 0.406, 0.674)  0.01
Pu (0.500, 0.000, 0.000)  5.42

Values from the calculation:
Formation energy without anion corrections (meV per atom): -1985

***

# PrY3Pu2S6

A relaxed PrY3Pu2S6 crystal (PBE-GGA, the Alexandria database).

Cell lengths 6.850, 6.850, 6.892 Å; angles 99.52, 99.52, 120.03 degrees
Each line ends with the local moment (μB).
Sites, in units of the cell vectors:
Y (0.164, 0.836, 0.500)  0.02
Pu (0.333, 0.667, 0.000)  5.37
Pu (0.667, 0.333, 0.000)  5.37
Y (0.836, 0.164, 0.500)  0.02
S (0.914, 0.573, 0.742)  -0.04
S (0.086, 0.427, 0.258)  -0.04
Pr (0.000, 0.000, 0.000)  0.05
Y (0.500, 0.500, 0.500)  0.02
S (0.255, 0.255, 0.743)  -0.04
S (0.573, 0.914, 0.742)  -0.04
S (0.745, 0.745, 0.257)  -0.04
S (0.427, 0.086, 0.258)  -0.04

Values from the calculation:
Formation energy without anion corrections (meV per atom): -1947

***

# Pr3Y2PuS6

A relaxed Pr3Y2PuS6 crystal (PBE-GGA, the Alexandria database).

Cell lengths 6.932, 6.932, 7.011 Å; angles 99.49, 99.49, 120.03 degrees
Each line ends with the local moment (μB).
Sites, in units of the cell vectors:
Pu (0.000, 0.000, 0.000)  5.31
S (0.257, 0.257, 0.766)  -0.02
Pr (0.500, 0.500, 0.500)  0.00
Y (0.333, 0.667, 0.000)  0.04
S (0.413, 0.078, 0.235)  -0.02
S (0.922, 0.587, 0.765)  -0.02
Pr (0.167, 0.833, 0.500)  0.00
Pr (0.833, 0.167, 0.500)  0.00
Y (0.667, 0.333, 0.000)  0.04
S (0.743, 0.743, 0.234)  -0.02
S (0.078, 0.413, 0.235)  -0.02
S (0.587, 0.922, 0.765)  -0.02

Values from the calculation:
Formation energy without anion corrections (meV per atom): -1985

***

# Pr3PuSb4

A relaxed Pr3PuSb4 crystal (PBE-GGA, the Alexandria database).

Cell lengths 4.531, 7.837, 7.837 Å; angles 109.46, 90.00, 90.00 degrees
Each line ends with the local moment (μB).
Sites, in units of the cell vectors:
Pr (0.000, 0.500, 0.000)  0.00
Sb (0.500, 0.247, 0.753)  -0.04
Sb (0.000, 0.243, 0.243)  -0.06
Sb (0.000, 0.757, 0.757)  -0.06
Pu (0.500, 0.000, 0.000)  5.20
Sb (0.500, 0.753, 0.247)  -0.04
Pr (0.000, 0.000, 0.500)  0.00
Pr (0.500, 0.500, 0.500)  -0.02

Values from the calculation:
Formation energy without anion corrections (meV per atom): -1033

***

# PrPuSb

A relaxed PrPuSb crystal (PBE-GGA, the Alexandria database).

Cell lengths 3.939, 5.145, 5.145 Å; angles 120.00, 90.00, 90.00 degrees
Each line ends with the local moment (μB).
Sites, in units of the cell vectors:
Pr (0.643, 0.333, 0.667)  -0.21
Pu (0.061, 0.000, 0.000)  -5.64
Sb (0.296, 0.667, 0.333)  0.05

Values from the calculation:
Formation energy without anion corrections (meV per atom): -294

***

# PrPu2Sb

A relaxed PrPu2Sb crystal (PBE-GGA, the Alexandria database).

Cell lengths 5.049, 4.664, 4.664 Å; angles 90.00, 90.00, 90.00 degrees
Each line ends with the local moment (μB).
Sites, in units of the cell vectors:
Sb (0.500, 0.000, 0.000)  -0.07
Pr (0.500, 0.500, 0.500)  0.11
Pu (0.000, 0.500, 0.000)  5.61
Pu (0.000, 0.000, 0.500)  5.61

Values from the calculation:
Formation energy without anion corrections (meV per atom): -392

***

# PrPuSb

A relaxed PrPuSb crystal (PBE-GGA, the Alexandria database).

Cell lengths 3.878, 3.878, 12.996 Å; angles 81.42, 81.42, 60.00 degrees
Each line ends with the local moment (μB).
Sites, in units of the cell vectors:
Sb (0.733, 0.733, 0.800)  0.01
Pu (0.654, 0.654, 0.037)  0.03
Pr (0.873, 0.873, 0.380)  0.16
Pu (0.346, 0.346, 0.963)  0.03
Pr (0.127, 0.127, 0.620)  0.16
Sb (0.267, 0.267, 0.200)  0.01

Values from the calculation:
Formation energy without anion corrections (meV per atom): -210